Nd2PaRu2, optimized geometry, DFT PBE-GGA; final energy = -7.9230 eV/atom; DFT formation energy = -406 meV/atom; space-group type = C2/c
1.0
5.1326 -3.0550 0.0000
5.1326 3.0550 0.0000
-1.3760 0.0000 7.8538
Nd Pa Ru
4 2 4
Direct
0.0356 0.2669 0.1505 Nd
0.2669 0.0356 0.6505 Nd
0.7331 0.9644 0.3495 Nd
0.9644 0.7331 0.8495 Nd
0.3831 0.6169 0.2500 Pa
0.6169 0.3831 0.7500 Pa
0.2523 0.4963 0.4862 Ru
0.4963 0.2523 0.9862 Ru
0.5037 0.7477 0.0138 Ru
0.7477 0.5037 0.5138 Ru